! Er2Si3NiIr4 (PBE, relaxed); values from VASP
! Total magnetization = 0.0 μB/f.u.
! Raw formation energy = -0.9329 eV per atom
! Total DFT energy (no corrections) = -7.59 eV/atom
! DOS(E_F) = 5.704 states/eV/cell
&SYSTEM
  ibrav = 0, nat = 10, ntyp = 4
/
ATOMIC_SPECIES
Er 167.26 Er.upf
Si 28.09 Si.upf
Ni 58.69 Ni.upf
Ir 192.22 Ir.upf
CELL_PARAMETERS angstrom
4.073 0.000 0.000
0.000 4.073 0.000
0.000 0.000 9.996
ATOMIC_POSITIONS crystal
Er 0.000 0.500 0.247
Er 0.500 0.000 0.753
Si 0.000 0.000 0.000
Si 0.000 0.500 0.630
Si 0.500 0.000 0.370
Ni 0.500 0.500 0.000
Ir 0.000 0.000 0.500
Ir 0.000 0.500 0.865
Ir 0.500 0.000 0.135
Ir 0.500 0.500 0.500

=====

! ErTaNiIr (PBE, relaxed); values from VASP
! Total magnetization = 0.0 μB/f.u.
! Total DFT energy (no corrections) = -8.12 eV/atom
! DOS(E_F) = 3.609 states/eV/cell
! ΔH_f (0 K) = -357 meV/atom
&SYSTEM
  ibrav = 0, nat = 4, ntyp = 4
/
ATOMIC_SPECIES
Er 167.26 Er.upf
Ta 180.95 Ta.upf
Ni 58.69 Ni.upf
Ir 192.22 Ir.upf
CELL_PARAMETERS angstrom
0.000 3.255 3.255
3.255 0.000 3.255
3.255 3.255 0.000
ATOMIC_POSITIONS crystal
Er 0.000 0.000 0.000
Ta 0.500 0.500 0.500
Ni 0.250 0.250 0.250
Ir 0.750 0.750 0.750

=====

! ErTmNiIr (PBE, relaxed); values from VASP
! Total magnetization = 0.0 μB/f.u.
! Total DFT energy (no corrections) = -6.64 eV/atom
! DOS(E_F) = 1.819 states/eV/cell
! ΔH_f (0 K) = -717 meV/atom
&SYSTEM
  ibrav = 0, nat = 4, ntyp = 4
/
ATOMIC_SPECIES
Er 167.26 Er.upf
Tm 168.93 Tm.upf
Ni 58.69 Ni.upf
Ir 192.22 Ir.upf
CELL_PARAMETERS angstrom
0.000 3.368 3.368
3.368 0.000 3.368
3.368 3.368 0.000
ATOMIC_POSITIONS crystal
Er 0.000 0.000 0.000
Tm 0.500 0.500 0.500
Ni 0.250 0.250 0.250
Ir 0.750 0.750 0.750

=====

! ErNpIr2 (PBE, relaxed); values from VASP
! Energy relative to the lowest polymorph listed for this composition = 0.0000 eV per atom
! Total magnetization = 3.5 μB/f.u.
! Total DFT energy (no corrections) = -9.34 eV/atom
! DOS(E_F) = 5.600 states/eV/cell
! ΔH_f (0 K) = -538 meV/atom
&SYSTEM
  ibrav = 0, nat = 4, ntyp = 3
/
ATOMIC_SPECIES
Er 167.26 Er.upf
Np 237.00 Np.upf
Ir 192.22 Ir.upf
CELL_PARAMETERS angstrom
4.937 0.000 0.000
0.000 4.937 0.000
0.000 0.000 3.246
ATOMIC_POSITIONS crystal
Er 0.000 0.000 0.000
Np 0.500 0.500 0.000
Ir 0.000 0.500 0.500
Ir 0.500 0.000 0.500

=====

! ErNpIr2 (PBE, relaxed); values from VASP
! Energy relative to the lowest polymorph listed for this composition = 0.0032 eV per atom
! Total magnetization = 3.4 μB/f.u.
! Total DFT energy (no corrections) = -9.34 eV/atom
! DOS(E_F) = 5.602 states/eV/cell
! ΔH_f (0 K) = -535 meV/atom
&SYSTEM
  ibrav = 0, nat = 4, ntyp = 3
/
ATOMIC_SPECIES
Er 167.26 Er.upf
Np 237.00 Np.upf
Ir 192.22 Ir.upf
CELL_PARAMETERS angstrom
0.000 3.409 3.409
3.409 0.000 3.409
3.409 3.409 0.000
ATOMIC_POSITIONS crystal
Er 0.000 0.000 0.000
Np 0.500 0.500 0.500
Ir 0.250 0.250 0.250
Ir 0.750 0.750 0.750

=====

! Er3NpIr8 (PBE, relaxed); values from VASP
! Total magnetization = 3.5 μB/f.u.
! Total DFT energy (no corrections) = -8.84 eV/atom
! DOS(E_F) = 12.146 states/eV/cell
! ΔH_f (0 K) = -717 meV/atom
&SYSTEM
  ibrav = 0, nat = 12, ntyp = 3
/
ATOMIC_SPECIES
Er 167.26 Er.upf
Np 237.00 Np.upf
Ir 192.22 Ir.upf
CELL_PARAMETERS angstrom
2.671 1.542 8.713
-2.671 1.542 8.713
0.000 -3.084 8.713
ATOMIC_POSITIONS crystal
Er 0.000 0.000 0.000
Er 0.125 0.125 0.125
Er 0.499 0.499 0.499
Np 0.624 0.624 0.624
Ir 0.060 0.562 0.562
Ir 0.062 0.062 0.564
Ir 0.062 0.564 0.062
Ir 0.312 0.312 0.312
Ir 0.562 0.060 0.562
Ir 0.562 0.562 0.060
Ir 0.564 0.062 0.062
Ir 0.812 0.812 0.812

=====

! ErNp2Ir9 (PBE, relaxed); values from VASP
! Total magnetization = 5.6 μB/f.u.
! Total DFT energy (no corrections) = -9.59 eV/atom
! DOS(E_F) = 20.405 states/eV/cell
! ΔH_f (0 K) = -403 meV/atom
&SYSTEM
  ibrav = 0, nat = 12, ntyp = 3
/
ATOMIC_SPECIES
Er 167.26 Er.upf
Np 237.00 Np.upf
Ir 192.22 Ir.upf
CELL_PARAMETERS angstrom
2.638 1.523 8.787
-2.638 1.523 8.787
0.000 -3.046 8.787
ATOMIC_POSITIONS crystal
Er 0.000 0.000 0.000
Np 0.140 0.140 0.140
Np 0.860 0.860 0.860
Ir 0.081 0.584 0.584
Ir 0.333 0.333 0.333
Ir 0.416 0.416 0.919
Ir 0.416 0.919 0.416
Ir 0.500 0.500 0.500
Ir 0.584 0.081 0.584
Ir 0.584 0.584 0.081
Ir 0.667 0.667 0.667
Ir 0.919 0.416 0.416

=====

! ErNpIr4 (PBE, relaxed); values from VASP
! Total magnetization = 3.4 μB/f.u.
! Total DFT energy (no corrections) = -9.44 eV/atom
! DOS(E_F) = 8.364 states/eV/cell
! ΔH_f (0 K) = -614 meV/atom
&SYSTEM
  ibrav = 0, nat = 6, ntyp = 3
/
ATOMIC_SPECIES
Er 167.26 Er.upf
Np 237.00 Np.upf
Ir 192.22 Ir.upf
CELL_PARAMETERS angstrom
0.000 3.777 3.777
3.777 0.000 3.777
3.777 3.777 0.000
ATOMIC_POSITIONS crystal
Er 0.000 0.000 0.000
Np 0.250 0.250 0.250
Ir 0.125 0.625 0.625
Ir 0.625 0.125 0.625
Ir 0.625 0.625 0.125
Ir 0.625 0.625 0.625

=====

! Er2NpIr9 (PBE, relaxed); values from VASP
! Total magnetization = 2.8 μB/f.u.
! Total DFT energy (no corrections) = -8.99 eV/atom
! DOS(E_F) = 20.366 states/eV/cell
! ΔH_f (0 K) = -502 meV/atom
&SYSTEM
  ibrav = 0, nat = 12, ntyp = 3
/
ATOMIC_SPECIES
Er 167.26 Er.upf
Np 237.00 Np.upf
Ir 192.22 Ir.upf
CELL_PARAMETERS angstrom
2.644 1.526 8.756
-2.644 1.526 8.756
0.000 -3.053 8.756
ATOMIC_POSITIONS crystal
Er 0.140 0.140 0.140
Er 0.860 0.860 0.860
Np 0.000 0.000 0.000
Ir 0.082 0.583 0.583
Ir 0.333 0.333 0.333
Ir 0.417 0.417 0.918
Ir 0.417 0.918 0.417
Ir 0.500 0.500 0.500
Ir 0.583 0.082 0.583
Ir 0.583 0.583 0.082
Ir 0.667 0.667 0.667
Ir 0.918 0.417 0.417

=====

! ErNpIrOs (PBE, relaxed); values from VASP
! Total magnetization = 2.9 μB/f.u.
! Total DFT energy (no corrections) = -9.67 eV/atom
! DOS(E_F) = 4.571 states/eV/cell
! ΔH_f (0 K) = -268 meV/atom
&SYSTEM
  ibrav = 0, nat = 4, ntyp = 4
/
ATOMIC_SPECIES
Er 167.26 Er.upf
Np 237.00 Np.upf
Ir 192.22 Ir.upf
Os 190.23 Os.upf
CELL_PARAMETERS angstrom
0.000 3.393 3.393
3.393 0.000 3.393
3.393 3.393 0.000
ATOMIC_POSITIONS crystal
Er 0.000 0.000 0.000
Np 0.500 0.500 0.500
Ir 0.750 0.750 0.750
Os 0.250 0.250 0.250

=====

! ErNpIrPt (PBE, relaxed); values from VASP
! Total magnetization = 3.9 μB/f.u.
! Total DFT energy (no corrections) = -8.75 eV/atom
! DOS(E_F) = 8.421 states/eV/cell
! ΔH_f (0 K) = -654 meV/atom
&SYSTEM
  ibrav = 0, nat = 4, ntyp = 4
/
ATOMIC_SPECIES
Er 167.26 Er.upf
Np 237.00 Np.upf
Ir 192.22 Ir.upf
Pt 195.08 Pt.upf
CELL_PARAMETERS angstrom
0.000 3.445 3.445
3.445 0.000 3.445
3.445 3.445 0.000
ATOMIC_POSITIONS crystal
Er 0.000 0.000 0.000
Np 0.500 0.500 0.500
Ir 0.750 0.750 0.750
Pt 0.250 0.250 0.250

=====

! ErNpIrRh (PBE, relaxed); values from VASP
! Total magnetization = 3.5 μB/f.u.
! Total DFT energy (no corrections) = -8.98 eV/atom
! DOS(E_F) = 6.058 states/eV/cell
! ΔH_f (0 K) = -552 meV/atom
&SYSTEM
  ibrav = 0, nat = 4, ntyp = 4
/
ATOMIC_SPECIES
Er 167.26 Er.upf
Np 237.00 Np.upf
Ir 192.22 Ir.upf
Rh 102.91 Rh.upf
CELL_PARAMETERS angstrom
0.000 3.407 3.407
3.407 0.000 3.407
3.407 3.407 0.000
ATOMIC_POSITIONS crystal
Er 0.000 0.000 0.000
Np 0.500 0.500 0.500
Ir 0.250 0.250 0.250
Rh 0.750 0.750 0.750